[1]
A relaxed structure of Pm12Al5Pt3, computed with PBE-GGA.

Cell: 17.363 17.363 17.363 Å, 90.00 90.00 90.00°
Space group Ia-3d (No. 230)
Unique sites:
Pm1 0.018 0.080 0.649 [96 per cell]
Al1 0.000 0.000 0.000 [16 per cell]
Al2 0.000 0.250 0.375 [24 per cell]
Pt1 0.000 0.250 0.125 [24 per cell]

density = 6.2 g cm⁻³
crystal system = cubic
final energy = -4.63 eV per atom
calculated formation energy = 60 meV per atom
magnetic moment = 0.0 Bohr magnetons per cell

[2]
A relaxed structure of Ce2Dy2Th3, computed with PBE-GGA.

Cell: 8.484 8.760 6.204 Å, 90.00 111.44 90.00°
Space group P2_1/c (No. 14)
Unique sites:
Ce1 0.242 0.250 0.121 [4 per cell]
Dy1 0.331 0.624 0.415 [4 per cell]
Th1 0.065 0.570 0.782 [4 per cell]
Th2 0.500 0.000 0.500 [2 per cell]

density = 10.1 g cm⁻³
crystal system = monoclinic
final energy = -6.05 eV per atom
calculated formation energy = 141 meV per atom
magnetic moment = 0.9 Bohr magnetons per cell

[3]
A relaxed structure of Ba2VSnAu, computed with PBE-GGA.

Cell: 6.256 6.256 5.089 Å, 90.00 90.00 90.00°
Space group P4/mmm (No. 123)
Unique sites:
Ba1 0.000 0.500 0.000 [2 per cell]
V1 0.000 0.000 0.000 [1 per cell]
Sn1 0.000 0.000 0.500 [1 per cell]
Au1 0.500 0.500 0.500 [1 per cell]

density = 5.3 g cm⁻³
crystal system = tetragonal
final energy = -3.86 eV per atom
calculated formation energy = 189 meV per atom
magnetic moment = 3.8 Bohr magnetons per cell

[4]
A relaxed structure of Th2HgI2Br4, computed with PBE-GGA.

Cell: 3.9923 3.9923 23.7356 Å, 90.00 90.00 120.00°
Space group P3m1 (No. 156)
Unique sites:
Th1 0.0000 0.0000 0.0000 [1 per cell]
Th2 0.3333 0.6667 0.3305 [1 per cell]
Hg1 0.3333 0.6667 0.6759 [1 per cell]
I1 0.0000 0.0000 0.5917 [1 per cell]
I2 0.0000 0.0000 0.7604 [1 per cell]
Br1 0.0000 0.0000 0.2463 [1 per cell]
Br2 0.0000 0.0000 0.4141 [1 per cell]
Br3 0.3333 0.6667 0.0842 [1 per cell]
Br4 0.3333 0.6667 0.9166 [1 per cell]

density = 6.3 g cm⁻³
crystal system = trigonal
energy relative to the elements, uncorrected = -0.9491 eV/atom
final energy = -3.72 eV per atom
magnetic moment = 0.0 Bohr magnetons per cell

[5]
A relaxed structure of Y2WBr, computed with PBE-GGA.

Cell: 4.166 4.166 10.981 Å, 90.00 90.00 90.00°
Space group I-4m2 (No. 119)
Unique sites:
Y1 0.000 0.000 0.000 [2 per cell]
Y2 0.000 0.500 0.250 [2 per cell]
W1 0.000 0.000 0.500 [2 per cell]
Br1 0.000 0.500 0.750 [2 per cell]

density = 7.7 g cm⁻³
crystal system = tetragonal
energy relative to the elements, uncorrected = 0.4657 eV/atom
final energy = -6.42 eV per atom
energy relative to the lowest polymorph listed for this composition = 0.656 eV per atom
magnetic moment = 0.0 Bohr magnetons per cell

[6]
A relaxed structure of TcCl2O, computed with PBE-GGA.

Cell: 3.1434 3.1434 22.6966 Å, 90.00 90.00 120.00°
Space group R-3m (No. 166, hexagonal axes)
Unique sites:
Tc1 0.0000 0.0000 0.0000 [3 per cell]
Cl1 0.0000 0.0000 0.0959 [6 per cell]
O1 0.0000 0.0000 0.5000 [3 per cell]

density = 4.7 g cm⁻³
crystal system = trigonal
energy relative to the elements, uncorrected = 0.8591 eV/atom
final energy = -3.90 eV per atom
energy relative to the lowest polymorph listed for this composition = 1.809 eV per atom
magnetic moment = 0.0 Bohr magnetons per cell

Please write out number 5 again, unchanged.
A relaxed structure of Y2WBr, computed with PBE-GGA.

Cell: 4.166 4.166 10.981 Å, 90.00 90.00 90.00°
Space group I-4m2 (No. 119)
Unique sites:
Y1 0.000 0.000 0.000 [2 per cell]
Y2 0.000 0.500 0.250 [2 per cell]
W1 0.000 0.000 0.500 [2 per cell]
Br1 0.000 0.500 0.750 [2 per cell]

density = 7.7 g cm⁻³
crystal system = tetragonal
energy relative to the elements, uncorrected = 0.4657 eV/atom
final energy = -6.42 eV per atom
energy relative to the lowest polymorph listed for this composition = 0.656 eV per atom
magnetic moment = 0.0 Bohr magnetons per cell

The highest final energy belongs to which entry?
Th2HgI2Br4

The lowest final energy belongs to which entry?
Y2WBr

Among the records above, which one has the highest final energy?
Th2HgI2Br4